A plane-wave DFT calculation with PBE was carried out for crystalline HfZrSc at its relaxed geometry.

The space group is I4mm (No. 107) and the conventional cell measures 3.145, 3.145 and 14.016 Å, with angles of 90.00, 90.00 and 90.00 degrees. The inequivalent atoms are Hf at (0.000, 0.000, 0.000), Zr at (0.000, 0.000, 0.660) and Sc at (0.000, 0.000, 0.334).

The energy relative to the lowest polymorph listed for this composition comes out at 0.00 eV per formula unit. The volume comes out at 23.11 A^3/atom. The value obtained for the formation energy is 0.054 eV/atom.

A plane-wave DFT calculation with PBE was carried out for crystalline Sm3HgPb at its relaxed geometry.

The space group is C2/c (No. 15) and the conventional cell measures 12.369, 11.493 and 8.938 Å, with angles of 90.00, 90.00 and 90.00 degrees. The inequivalent atoms are Sm at (0.097, 0.104, 0.081), Sm at (0.097, 0.396, 0.919), Sm at (0.250, 0.176, 0.686), Hg at (0.249, 0.445, 0.630), Pb at (0.000, 0.149, 0.750) and Pb at (0.000, 0.350, 0.250).

The volume comes out at 31.77 A^3/atom. The value obtained for the formation energy is -0.335 eV/atom.

A plane-wave DFT calculation with PBE was carried out for crystalline PmDy2Ag at its relaxed geometry.

The space group is R3m (No. 160, hexagonal axes) and the conventional cell measures 3.6171, 3.6171 and 31.2757 Å, with angles of 90.00, 90.00 and 120.00 degrees. The inequivalent atoms are Pm at (0.0000, 0.0000, 0.0000), Dy at (0.0000, 0.0000, 0.5729), Dy at (0.0000, 0.0000, 0.7606) and Ag at (0.0000, 0.0000, 0.1667).

The energy relative to the lowest polymorph listed for this composition comes out at 0.52 eV per formula unit. The volume comes out at 29.53 A^3/atom. The value obtained for the formation energy is -0.003 eV/atom.

A plane-wave DFT calculation with PBE was carried out for crystalline PmNd3DyTm at its relaxed geometry.

The space group is Cmcm (No. 63) and the conventional cell measures 5.098, 15.373 and 10.270 Å, with angles of 90.00, 90.00 and 90.00 degrees. The inequivalent atoms are Pm at (0.000, 0.002, 0.250), Nd at (0.000, 0.166, 0.000), Nd at (0.000, 0.333, 0.250), Dy at (0.000, 0.500, 0.000) and Tm at (0.000, 0.334, 0.750).

The volume comes out at 33.53 A^3/atom. The value obtained for the formation energy is 0.017 eV/atom.

A plane-wave DFT calculation with PBE was carried out for crystalline PmSm2S3 at its relaxed geometry.

The space group is Immm (No. 71) and the conventional cell measures 4.026, 5.676 and 12.034 Å, with angles of 90.00, 90.00 and 90.00 degrees. The inequivalent atoms are Pm at (0.000, 0.000, 0.000), Sm at (0.000, 0.000, 0.334), S at (0.000, 0.500, 0.000) and S at (0.000, 0.500, 0.332).

For the formation energy (no corrections), the calculation gives -2.026 eV per atom. The volume comes out at 22.91 A^3/atom.

A plane-wave DFT calculation with PBE was carried out for crystalline La12ErTm3 at its relaxed geometry.

The space group is P4/mmm (No. 123) and the conventional cell measures 5.188, 5.188 and 20.755 Å, with angles of 90.00, 90.00 and 90.00 degrees. The inequivalent atoms are La at (0.000, 0.000, 0.000), La at (0.000, 0.000, 0.250), La at (0.000, 0.000, 0.500), La at (0.000, 0.500, 0.125), La at (0.000, 0.500, 0.375), Er at (0.500, 0.500, 0.000), Tm at (0.500, 0.500, 0.250) and Tm at (0.500, 0.500, 0.500).

The volume comes out at 34.92 A^3/atom. The value obtained for the formation energy is 0.007 eV/atom.

A plane-wave DFT calculation with PBE was carried out for crystalline BaCd2Au at its relaxed geometry.

The space group is R-3m (No. 166, hexagonal axes) and the conventional cell measures 4.8816, 4.8816 and 17.4581 Å, with angles of 90.00, 90.00 and 120.00 degrees. The inequivalent atoms are Ba at (0.0000, 0.0000, 0.0000), Cd at (0.0000, 0.0000, 0.2052) and Au at (0.0000, 0.0000, 0.5000).

The volume comes out at 30.02 A^3/atom. The value obtained for the formation energy is -0.353 eV/atom.

A plane-wave DFT calculation with PBE was carried out for crystalline MgTl8Pb2 at its relaxed geometry.

The space group is P4/mmm (No. 123) and the conventional cell measures 5.024, 5.024 and 13.320 Å, with angles of 90.00, 90.00 and 90.00 degrees. The inequivalent atoms are Mg at (0.000, 0.000, 0.000), Tl at (0.000, 0.500, 0.135), Tl at (0.000, 0.500, 0.500), Tl at (0.500, 0.500, 0.318) and Pb at (0.000, 0.000, 0.310).

The energy relative to the lowest polymorph listed for this composition comes out at 0.00 eV per formula unit. The volume comes out at 30.56 A^3/atom. The value obtained for the formation energy is 0.018 eV/atom.

A plane-wave DFT calculation with PBE was carried out for crystalline In2SnPb4 at its relaxed geometry.

The space group is I4/mmm (No. 139) and the conventional cell measures 5.931, 5.931 and 15.155 Å, with angles of 90.00, 90.00 and 90.00 degrees. The inequivalent atoms are In at (0.000, 0.000, 0.102), Sn at (0.000, 0.000, 0.500), Pb at (0.000, 0.000, 0.301) and Pb at (0.000, 0.500, 0.000).

The energy relative to the lowest polymorph listed for this composition comes out at 2.41 eV per formula unit. The volume comes out at 38.08 A^3/atom. The value obtained for the formation energy is 0.385 eV/atom.

A plane-wave DFT calculation with PBE was carried out for crystalline Pm4Tm5Cd2 at its relaxed geometry.

The space group is P2/m (No. 10) and the conventional cell measures 8.580, 3.480 and 11.262 Å, with angles of 90.00, 93.82 and 90.00 degrees. The inequivalent atoms are Pm at (0.145, 0.000, 0.383), Pm at (0.284, 0.000, 0.951), Tm at (0.204, 0.500, 0.669), Tm at (0.427, 0.500, 0.208), Tm at (0.500, 0.500, 0.500) and Cd at (0.054, 0.500, 0.131).

The volume comes out at 30.50 A^3/atom. The value obtained for the formation energy is 0.014 eV/atom.

A plane-wave DFT calculation with PBE was carried out for crystalline Pt2C at its relaxed geometry.

The space group is P6_3/mmc (No. 194) and the conventional cell measures 3.5600, 3.5600 and 7.2892 Å, with angles of 90.00, 90.00 and 120.00 degrees. The inequivalent atoms are Pt at (0.0000, 0.0000, 0.0000), Pt at (0.3333, 0.6667, 0.2500) and C at (0.3333, 0.6667, 0.7500).

The energy relative to the lowest polymorph listed for this composition comes out at 1.09 eV per formula unit. The volume comes out at 13.33 A^3/atom. The value obtained for the formation energy is 0.920 eV/atom.

A plane-wave DFT calculation with PBE was carried out for crystalline KMg2Rh at its relaxed geometry.

The space group is I4_1/amd (No. 141, origin choice 2) and the conventional cell measures 6.068, 6.068 and 15.767 Å, with angles of 90.00, 90.00 and 90.00 degrees. The inequivalent atoms are K at (0.000, 0.250, 0.375), Mg at (0.000, 0.000, 0.000) and Rh at (0.000, 0.250, 0.875).

The energy relative to the lowest polymorph listed for this composition comes out at 1.58 eV per formula unit. The volume comes out at 36.29 A^3/atom. The value obtained for the formation energy is 0.276 eV/atom.

A plane-wave DFT calculation with PBE was carried out for crystalline Pm2AlFe2Ni5 at its relaxed geometry.

The space group is P4/mbm (No. 127) and the conventional cell measures 9.114, 9.114 and 3.674 Å, with angles of 90.00, 90.00 and 90.00 degrees. The inequivalent atoms are Pm at (0.182, 0.318, 0.000), Al at (0.000, 0.000, 0.000), Fe at (0.117, 0.617, 0.000), Ni at (0.000, 0.500, 0.500) and Ni at (0.057, 0.792, 0.500).

The volume comes out at 15.26 A^3/atom. The value obtained for the formation energy is -0.123 eV/atom.

A plane-wave DFT calculation with PBE was carried out for crystalline YTiH at its relaxed geometry.

The space group is Pnma (No. 62) and the conventional cell measures 10.351, 3.270 and 5.685 Å, with angles of 90.00, 90.00 and 90.00 degrees. The inequivalent atoms are Y at (0.000, 0.250, 0.249), Ti at (0.250, 0.250, 0.582) and H at (0.157, 0.750, 0.412).

The energy relative to the lowest polymorph listed for this composition comes out at 0.00 eV per formula unit. The volume comes out at 16.03 A^3/atom.

A plane-wave DFT calculation with PBE was carried out for crystalline ReW2Au at its relaxed geometry.

The space group is C2/m (No. 12) and the conventional cell measures 9.379, 2.854 and 4.903 Å, with angles of 90.00, 100.35 and 90.00 degrees. The inequivalent atoms are Re at (0.000, 0.000, 0.000), W at (0.246, 0.500, 0.244) and Au at (0.000, 0.500, 0.500).

The energy relative to the lowest polymorph listed for this composition comes out at 0.47 eV per formula unit. The volume comes out at 16.14 A^3/atom. The value obtained for the formation energy is 0.386 eV/atom.

A plane-wave DFT calculation with PBE was carried out for crystalline La12Er7Sc at its relaxed geometry.

The space group is R-3m (No. 166, hexagonal axes) and the conventional cell measures 19.4946, 19.4946 and 6.3326 Å, with angles of 90.00, 90.00 and 120.00 degrees. The inequivalent atoms are La at (0.0000, 0.4085, 0.0000), La at (0.0984, 0.5492, 0.4789), Er at (0.0000, 0.0000, 0.0000), Er at (0.0808, 0.1615, 0.3094) and Sc at (0.0000, 0.0000, 0.5000).

The volume comes out at 34.74 A^3/atom. The value obtained for the formation energy is 0.165 eV/atom.

A plane-wave DFT calculation with PBE was carried out for crystalline TlZnOs2 at its relaxed geometry.

The space group is R3m (No. 160, hexagonal axes) and the conventional cell measures 2.9141, 2.9141 and 27.8126 Å, with angles of 90.00, 90.00 and 120.00 degrees. The inequivalent atoms are Tl at (0.0000, 0.0000, 0.0000), Zn at (0.0000, 0.0000, 0.7602), Os at (0.0000, 0.0000, 0.2412) and Os at (0.0000, 0.0000, 0.5034).

The energy relative to the lowest polymorph listed for this composition comes out at 0.73 eV per formula unit. The volume comes out at 17.04 A^3/atom. The value obtained for the formation energy is 0.538 eV/atom.

A plane-wave DFT calculation with PBE was carried out for crystalline Hf6ThZr at its relaxed geometry.

The space group is Pmm2 (No. 25) and the conventional cell measures 5.196, 6.480 and 5.653 Å, with angles of 90.00, 90.00 and 90.00 degrees. The inequivalent atoms are Hf at (0.000, 0.000, 0.000), Hf at (0.000, 0.244, 0.514), Hf at (0.500, 0.238, 0.831), Hf at (0.500, 0.500, 0.367), Th at (0.000, 0.500, 0.015) and Zr at (0.500, 0.000, 0.328).

The volume comes out at 23.79 A^3/atom. The value obtained for the formation energy is 0.075 eV/atom.

A plane-wave DFT calculation with PBE was carried out for crystalline KOsI2 at its relaxed geometry.

The space group is I-42d (No. 122) and the conventional cell measures 8.581, 8.581 and 7.183 Å, with angles of 90.00, 90.00 and 90.00 degrees. The inequivalent atoms are K at (0.000, 0.000, 0.000), Os at (0.000, 0.000, 0.500) and I at (0.140, 0.250, 0.625).

The energy relative to the lowest polymorph listed for this composition comes out at 0.00 eV per formula unit. For the formation energy (no corrections), the calculation gives 0.218 eV per atom. The volume comes out at 33.06 A^3/atom.

A plane-wave DFT calculation with PBE was carried out for crystalline K2HgBi at its relaxed geometry.

The space group is R-3m (No. 166, hexagonal axes) and the conventional cell measures 3.7967, 3.7967 and 37.3304 Å, with angles of 90.00, 90.00 and 120.00 degrees. The inequivalent atoms are K at (0.0000, 0.0000, 0.0912), Hg at (0.0000, 0.0000, 0.5000) and Bi at (0.0000, 0.0000, 0.0000).

The energy relative to the lowest polymorph listed for this composition comes out at 1.21 eV per formula unit. The volume comes out at 38.84 A^3/atom. The value obtained for the formation energy is 0.020 eV/atom.

| no. | N(E_F) (states/eV/atom) | total DFT energy (no corrections) (eV per atom) |
| --- | --- | --- |
| 1 | 1.71 | -8.22 |
| 2 | 1.33 | -3.97 |
| 3 | 1.25 | -4.20 |
| 4 | 1.45 | -4.67 |
| 5 | 0.40 | -6.45 |
| 6 | 1.28 | -4.81 |
| 7 | 0.54 | -2.11 |
| 8 | 0.41 | -2.52 |
| 9 | 0.59 | -3.09 |
| 10 | 1.38 | -3.91 |
| 11 | 0.05 | -6.18 |
| 12 | 0.64 | -2.63 |
| 13 | 0.98 | -6.03 |
| 14 | 0.97 | -5.95 |
| 15 | 0.74 | -10.02 |
| 16 | 1.47 | -4.71 |
| 17 | 1.12 | -5.99 |
| 18 | 0.91 | -9.39 |
| 19 | 0.92 | -3.64 |
| 20 | 0.77 | -1.57 |